Record 1
The following is a PBE-GGA calculation of a relaxed NbRe2Ru crystal, from the Alexandria database.

The value obtained for the total energy is -10.339 eV per atom. As for the formation energy: 0.7218 eV per atom. The polymorph energy (0 for the lowest one) is 1.97 eV/f.u.

The space group is I-42d (No. 122) and the conventional cell measures 7.243, 7.243 and 5.165 Å, with angles of 90.00, 90.00 and 90.00 degrees. The inequivalent atoms are Nb at (0.000, 0.000, 0.000), Re at (0.232, 0.750, 0.625) and Ru at (0.000, 0.000, 0.500).

Record 2
The following is a PBE-GGA calculation of a relaxed MgGa crystal, from the Alexandria database.

The value obtained for the total energy is -2.342 eV per atom. As for the formation energy: -0.0309 eV per atom.

The space group is P-3m1 (No. 164) and the conventional cell measures 3.1751, 3.1751 and 9.3045 Å, with angles of 90.00, 90.00 and 120.00 degrees. The inequivalent atoms are Mg at (0.3333, 0.6667, 0.1380) and Ga at (0.3333, 0.6667, 0.6150).

Record 3
The following is a PBE-GGA calculation of a relaxed KYTa crystal, from the Alexandria database.

The value obtained for the total energy is -5.296 eV per atom. As for the formation energy: 1.1754 eV per atom. The polymorph energy (0 for the lowest one) is 1.35 eV/f.u.

The space group is P-6m2 (No. 187) and the conventional cell measures 5.6725, 5.6725 and 2.9209 Å, with angles of 90.00, 90.00 and 120.00 degrees. The inequivalent atoms are K at (0.0000, 0.0000, 0.0000), Y at (0.3333, 0.6667, 0.0000) and Ta at (0.6667, 0.3333, 0.5000).

Record 4
The following is a PBE-GGA calculation of a relaxed TiMnGa crystal, from the Alexandria database.

The value obtained for the total energy is -6.926 eV per atom. As for the formation energy: -0.2292 eV per atom.

The space group is C2/m (No. 12) and the conventional cell measures 7.690, 4.340 and 5.309 Å, with angles of 90.00, 103.94 and 90.00 degrees. The inequivalent atoms are Ti at (0.140, 0.000, 0.348), Mn at (0.030, 0.500, 0.706) and Ga at (0.227, 0.000, 0.860).

Record 5
The following is a PBE-GGA calculation of a relaxed CoRu2Cl crystal, from the Alexandria database.

The value obtained for the total energy is -5.955 eV per atom. Its raw formation energy is 0.9215 eV per atom. The polymorph energy (0 for the lowest one) is 2.27 eV/f.u.

The space group is F-43m (No. 216) and the conventional cell measures 6.087, 6.087 and 6.087 Å, with angles of 90.00, 90.00 and 90.00 degrees. The inequivalent atoms are Co at (0.000, 0.000, 0.000), Ru at (0.000, 0.000, 0.500), Ru at (0.250, 0.250, 0.250) and Cl at (0.250, 0.250, 0.750).

Record 6
The following is a PBE-GGA calculation of a relaxed Ti2NbPt crystal, from the Alexandria database.

The value obtained for the total energy is -8.520 eV per atom. As for the formation energy: -0.5452 eV per atom. The polymorph energy (0 for the lowest one) is 0.02 eV/f.u.

The space group is Fm-3m (No. 225) and the conventional cell measures 6.365, 6.365 and 6.365 Å, with angles of 90.00, 90.00 and 90.00 degrees. The inequivalent atoms are Ti at (0.250, 0.250, 0.250), Nb at (0.000, 0.000, 0.000) and Pt at (0.000, 0.000, 0.500).

Record 7
The following is a PBE-GGA calculation of a relaxed Mo2Br crystal, from the Alexandria database.

The value obtained for the total energy is -6.884 eV per atom. Its raw formation energy is 0.8947 eV per atom. The polymorph energy (0 for the lowest one) is 2.35 eV/f.u.

The space group is Immm (No. 71) and the conventional cell measures 3.052, 4.243 and 7.790 Å, with angles of 90.00, 90.00 and 90.00 degrees. The inequivalent atoms are Mo at (0.000, 0.000, 0.169) and Br at (0.000, 0.000, 0.500).

Record 8
The following is a PBE-GGA calculation of a relaxed LaFeC3 crystal, from the Alexandria database.

The value obtained for the total energy is -5.123 eV per atom. As for the formation energy: 3.0893 eV per atom. The polymorph energy (0 for the lowest one) is 10.59 eV/f.u.

The space group is Pm-3m (No. 221) and the conventional cell measures 4.410, 4.410 and 4.410 Å, with angles of 90.00, 90.00 and 90.00 degrees. The inequivalent atoms are La at (0.000, 0.000, 0.000), Fe at (0.500, 0.500, 0.500) and C at (0.000, 0.000, 0.500).

Copy entry 6 word for word.
The following is a PBE-GGA calculation of a relaxed Ti2NbPt crystal, from the Alexandria database.

The value obtained for the total energy is -8.520 eV per atom. As for the formation energy: -0.5452 eV per atom. The polymorph energy (0 for the lowest one) is 0.02 eV/f.u.

The space group is Fm-3m (No. 225) and the conventional cell measures 6.365, 6.365 and 6.365 Å, with angles of 90.00, 90.00 and 90.00 degrees. The inequivalent atoms are Ti at (0.250, 0.250, 0.250), Nb at (0.000, 0.000, 0.000) and Pt at (0.000, 0.000, 0.500).

> Which value of total energy does entry 7 give?

-6.884 eV per atom

> What is the total energy in the sixth record?

-8.520 eV per atom

> Look up the total energy of the sixth one.

-8.520 eV per atom